Entry 1:
Here is a geometry-optimized La6Au2CN structure from Alexandria. Energies are from PBE.

Properties
space-group type = P2_1/c, No. 14
Fermi-level density of states = 9.4 states/eV/f.u.
total energy = -60.1 eV/f.u.
magnetization = 0.00 μB per cell

Cell: 7.062 7.341 10.176 Å, 90.00 90.29 90.00°
Fractional positions:
La1 0.297 0.708 0.048
La2 0.797 0.792 0.548
La3 0.703 0.292 0.952
La4 0.203 0.208 0.452
La5 0.298 0.710 0.452
La6 0.798 0.790 0.952
La7 0.702 0.290 0.548
La8 0.202 0.210 0.048
La9 0.905 0.525 0.250
La10 0.405 0.975 0.750
La11 0.095 0.475 0.750
La12 0.595 0.025 0.250
Au1 0.027 0.940 0.248
Au2 0.527 0.560 0.748
Au3 0.973 0.060 0.752
Au4 0.473 0.440 0.252
C1 0.500 0.000 0.000
C2 0.000 0.500 0.500
N1 0.500 0.000 0.500
N2 0.000 0.500 0.000



Entry 2:
Here is a geometry-optimized PmTl4F7 structure from Alexandria. Energies are from PBE.

Properties
space-group type = C2/m, No. 12
Fermi-level density of states = 0.0 states/eV/f.u.
total energy = -57.4 eV/f.u.
magnetization = 0.00 μB per cell

Cell: 4.495 6.657 10.132 Å, 107.15 102.82 90.00°
Fractional positions:
Pm1 0.000 0.000 0.000
Tl1 0.405 0.429 0.810
Tl2 0.595 0.571 0.190
Tl3 0.296 0.825 0.592
Tl4 0.704 0.175 0.408
F1 0.096 0.294 0.191
F2 0.904 0.706 0.809
F3 0.924 0.195 0.847
F4 0.076 0.805 0.153
F5 0.721 0.810 0.442
F6 0.500 0.000 0.000
F7 0.279 0.190 0.558



Entry 3:
Here is a geometry-optimized Hf2TaCu2 structure from Alexandria. Energies are from PBE.

Properties
space-group type = P4/mbm, No. 127
Fermi-level density of states = 5.0 states/eV/f.u.
ΔE_f = 0.014 eV per atom
total energy = -39.9 eV/f.u.
magnetization = 0.00 μB per cell
polymorph energy (0 for the lowest one) = 0.0 meV per atom

Cell: 7.436 7.436 3.133 Å, 90.00 90.00 90.00°
Fractional positions:
Hf1 0.178 0.678 0.500
Hf2 0.678 0.822 0.500
Hf3 0.822 0.322 0.500
Hf4 0.322 0.178 0.500
Cu1 0.381 0.881 0.000
Cu2 0.881 0.619 0.000
Cu3 0.619 0.119 0.000
Cu4 0.119 0.381 0.000
Ta1 0.000 0.000 0.000
Ta2 0.500 0.500 0.000



Entry 4:
Here is a geometry-optimized PaGa3Rh structure from Alexandria. Energies are from PBE.

Properties
space-group type = Cmcm, No. 63
Fermi-level density of states = 3.6 states/eV/f.u.
ΔE_f = -0.528 eV per atom
total energy = -28.6 eV/f.u.
magnetization = 0.00 μB per cell
polymorph energy (0 for the lowest one) = 0.0 meV per atom

Cell: 5.917 5.921 5.749 Å, 90.00 90.00 113.91°
Fractional positions:
Pa1 0.777 0.723 0.750
Pa2 0.223 0.277 0.250
Ga1 0.703 0.203 0.000
Ga2 0.297 0.797 0.000
Ga3 0.703 0.203 0.500
Ga4 0.297 0.797 0.500
Ga5 0.321 0.179 0.750
Ga6 0.679 0.821 0.250
Rh1 0.075 0.426 0.750
Rh2 0.925 0.574 0.250



Entry 5:
Here is a geometry-optimized HfZnNF2 structure from Alexandria. Energies are from PBE.

Properties
space-group type = P4/mmm, No. 123
Fermi-level density of states = 2.2 states/eV/f.u.
total energy = -27.8 eV/f.u.
magnetization = 0.64 μB per cell
polymorph energy (0 for the lowest one) = 780.6 meV per atom

Cell: 3.656 3.656 4.897 Å, 90.00 90.00 90.00°
Site moments in Bohr magnetons follow the coordinates.
Fractional positions:
Zn1 0.000 0.000 0.000  0.00
N1 0.000 0.000 0.500  -0.02
Hf1 0.500 0.500 0.500  0.43
F1 0.000 0.500 0.000  0.02
F2 0.500 0.000 0.000  0.02



Entry 6:
Here is a geometry-optimized RuRh2Pb structure from Alexandria. Energies are from PBE.

Properties
space-group type = Imm2, No. 44
Fermi-level density of states = 5.7 states/eV/f.u.
ΔE_f = 0.390 eV per atom
total energy = -26.1 eV/f.u.
magnetization = 0.85 μB per cell

Cell: 5.480 5.480 5.480 Å, 148.72 128.50 61.50°
Site moments in Bohr magnetons follow the coordinates.
Fractional positions:
Pb1 0.251 0.751 0.500  -0.01
Rh1 0.998 0.998 0.000  0.12
Rh2 0.744 0.244 0.500  0.16
Ru1 0.507 0.507 0.000  0.56



Entry 7:
Here is a geometry-optimized CdHgW2 structure from Alexandria. Energies are from PBE.

Properties
space-group type = R3m, No. 160
Fermi-level density of states = 2.3 states/eV/f.u.
ΔE_f = 0.558 eV per atom
total energy = -24.9 eV/f.u.
magnetization = 0.00 μB per cell
polymorph energy (0 for the lowest one) = 127.4 meV per atom

Cell: 10.527 10.527 10.527 Å, 15.72 15.72 15.72°
Fractional positions:
Hg1 0.746 0.746 0.746
W1 0.996 0.996 0.996
W2 0.254 0.254 0.254
Cd1 0.505 0.505 0.505



Entry 8:
Here is a geometry-optimized K2TlSi structure from Alexandria. Energies are from PBE.

Properties
space-group type = I-42d, No. 122
Fermi-level density of states = 2.9 states/eV/f.u.
total energy = -8.0 eV/f.u.
magnetization = 0.00 μB per cell
polymorph energy (0 for the lowest one) = 382.8 meV per atom

Cell: 4.768 4.768 12.408 Å, 78.92 78.92 90.00°
Fractional positions:
Tl1 0.000 0.000 0.000
Tl2 0.750 0.250 0.500
Si1 0.500 0.500 0.000
Si2 0.250 0.750 0.500
K1 0.614 0.125 0.250
K2 0.136 0.625 0.250
K3 0.375 0.386 0.750
K4 0.875 0.864 0.750



Entry 9:
Here is a geometry-optimized SrRhIO2 structure from Alexandria. Energies are from PBE.

Properties
space-group type = P4/mmm, No. 123
Fermi-level density of states = 3.9 states/eV/f.u.
total energy = -20.4 eV/f.u.
magnetization = 3.84 μB per cell
polymorph energy (0 for the lowest one) = 732.2 meV per atom

Cell: 4.475 4.475 7.003 Å, 90.00 90.00 90.00°
Site moments in Bohr magnetons follow the coordinates.
Fractional positions:
I1 0.000 0.000 0.500  0.06
Sr1 0.000 0.000 0.000  0.05
Rh1 0.500 0.500 0.500  1.58
O1 0.000 0.500 0.000  0.79
O2 0.500 0.000 0.000  0.79



Entry 10:
Here is a geometry-optimized Ca2VOs structure from Alexandria. Energies are from PBE.

Properties
space-group type = Fm-3m, No. 225
Fermi-level density of states = 5.1 states/eV/f.u.
ΔE_f = 0.797 eV per atom
total energy = -21.2 eV/f.u.
magnetization = 3.33 μB per cell
polymorph energy (0 for the lowest one) = 80.4 meV per atom

Cell: 4.977 4.977 4.977 Å, 60.00 60.00 60.00°
Site moments in Bohr magnetons follow the coordinates.
Fractional positions:
Ca1 0.250 0.250 0.250  0.07
Ca2 0.750 0.750 0.750  0.07
Os1 0.500 0.500 0.500  -0.43
V1 0.000 0.000 0.000  2.82



Entry 11:
Here is a geometry-optimized ZrTeBr2 structure from Alexandria. Energies are from PBE.

Properties
space-group type = P4mm, No. 99
Fermi-level density of states = 2.5 states/eV/f.u.
total energy = -17.5 eV/f.u.
magnetization = 0.00 μB per cell
polymorph energy (0 for the lowest one) = 472.1 meV per atom

Cell: 3.814 3.814 8.264 Å, 90.00 90.00 90.00°
Fractional positions:
Te1 0.000 0.000 0.536
Br1 0.000 0.000 0.928
Br2 0.500 0.500 0.344
Zr1 0.500 0.500 0.692



Entry 12:
Here is a geometry-optimized MgMnAu5 structure from Alexandria. Energies are from PBE.

Properties
space-group type = P4/mmm, No. 123
Fermi-level density of states = 2.5 states/eV/f.u.
ΔE_f = -0.147 eV per atom
total energy = -28.2 eV/f.u.
magnetization = 4.36 μB per cell

Cell: 3.965 3.965 8.447 Å, 90.00 90.00 90.00°
Site moments in Bohr magnetons follow the coordinates.
Fractional positions:
Mg1 0.500 0.500 0.000  0.00
Mn1 0.000 0.000 0.500  4.07
Au1 0.000 0.500 0.760  0.02
Au2 0.000 0.500 0.240  0.02
Au3 0.500 0.000 0.760  0.02
Au4 0.500 0.000 0.240  0.02
Au5 0.500 0.500 0.500  0.05



Entry 13:
Here is a geometry-optimized Au2SeCl structure from Alexandria. Energies are from PBE.

Properties
space-group type = C2/m, No. 12
Fermi-level density of states = 1.5 states/eV/f.u.
total energy = -11.5 eV/f.u.
magnetization = 0.00 μB per cell
polymorph energy (0 for the lowest one) = 112.5 meV per atom

Cell: 3.845 3.845 6.891 Å, 77.05 77.05 63.52°
Fractional positions:
Au1 0.972 0.972 0.029
Au2 0.528 0.528 0.471
Cl1 0.750 0.750 0.750
Se1 0.250 0.250 0.250



Entry 14:
Here is a geometry-optimized Pu2Hg2Rh structure from Alexandria. Energies are from PBE.

Properties
space-group type = I4/mmm, No. 139
Fermi-level density of states = 14.0 states/eV/f.u.
ΔE_f = -0.265 eV per atom
total energy = -37.9 eV/f.u.
magnetization = 11.04 μB per cell

Cell: 3.331 3.331 10.755 Å, 98.91 98.91 90.00°
Site moments in Bohr magnetons follow the coordinates.
Fractional positions:
Pu1 0.585 0.585 0.169  5.38
Pu2 0.415 0.415 0.831  5.38
Hg1 0.803 0.803 0.607  0.01
Hg2 0.197 0.197 0.393  0.01
Rh1 0.000 0.000 0.000  -0.32



Entry 15:
Here is a geometry-optimized PuMnRh2 structure from Alexandria. Energies are from PBE.

Properties
space-group type = I4/mmm, No. 139
Fermi-level density of states = 6.7 states/eV/f.u.
ΔE_f = -0.272 eV per atom
total energy = -39.3 eV/f.u.
magnetization = 9.00 μB per cell

Cell: 4.562 4.627 4.627 Å, 59.08 60.46 60.46°
Site moments in Bohr magnetons follow the coordinates.
Fractional positions:
Mn1 0.750 0.750 0.750  3.89
Rh1 0.500 0.500 0.500  -0.02
Rh2 0.000 0.000 0.000  -0.02
Pu1 0.250 0.250 0.250  4.82



Entry 16:
Here is a geometry-optimized CuWSe2 structure from Alexandria. Energies are from PBE.

Properties
space-group type = Pm, No. 6
Fermi-level density of states = 2.4 states/eV/f.u.
total energy = -23.7 eV/f.u.
magnetization = 0.00 μB per cell
polymorph energy (0 for the lowest one) = 238.3 meV per atom

Cell: 3.767 3.767 6.052 Å, 89.93 90.00 90.00°
Fractional positions:
Cu1 0.500 0.875 0.625
Se1 0.000 0.874 0.901
Se2 0.500 0.376 0.349
W1 0.000 0.375 0.625



Entry 17:
Here is a geometry-optimized SrCrC3 structure from Alexandria. Energies are from PBE.

Properties
space-group type = Pm-3m, No. 221
Fermi-level density of states = 4.0 states/eV/f.u.
ΔE_f = 3.602 eV per atom
total energy = -21.0 eV/f.u.
magnetization = 3.01 μB per cell
polymorph energy (0 for the lowest one) = 2619.2 meV per atom

Cell: 4.505 4.505 4.505 Å, 90.00 90.00 90.00°
Site moments in Bohr magnetons follow the coordinates.
Fractional positions:
Sr1 0.000 0.000 0.000  0.08
C1 0.000 0.500 0.000  0.26
C2 0.000 0.000 0.500  0.22
C3 0.500 0.000 0.000  0.15
Cr1 0.500 0.500 0.500  -3.85



Entry 18:
Here is a geometry-optimized Ca2CrPt structure from Alexandria. Energies are from PBE.

Properties
space-group type = R-3m, No. 166
Fermi-level density of states = 2.4 states/eV/f.u.
ΔE_f = 0.100 eV per atom
total energy = -19.3 eV/f.u.
magnetization = 5.03 μB per cell
polymorph energy (0 for the lowest one) = 326.2 meV per atom

Cell: 8.891 8.891 8.891 Å, 25.34 25.34 25.34°
Site moments in Bohr magnetons follow the coordinates.
Fractional positions:
Cr1 0.250 0.250 0.250  4.12
Ca1 0.016 0.016 0.016  0.02
Ca2 0.484 0.484 0.484  0.02
Pt1 0.750 0.750 0.750  0.02



Entry 19:
Here is a geometry-optimized Nd3DyEr2Se6 structure from Alexandria. Energies are from PBE.

Properties
space-group type = C2/m, No. 12
Fermi-level density of states = 5.7 states/eV/f.u.
total energy = -70.3 eV/f.u.
magnetization = 0.00 μB per cell

Cell: 7.102 7.102 7.310 Å, 99.31 99.31 120.25°
Fractional positions:
Nd1 0.165 0.835 0.500
Nd2 0.835 0.165 0.500
Nd3 0.500 0.500 0.500
Dy1 0.000 0.000 0.000
Er1 0.334 0.666 0.000
Er2 0.666 0.334 0.000
Se1 0.922 0.587 0.767
Se2 0.742 0.742 0.232
Se3 0.078 0.413 0.233
Se4 0.587 0.922 0.767
Se5 0.258 0.258 0.768
Se6 0.413 0.078 0.233



Entry 20:
Here is a geometry-optimized CrCuSi2 structure from Alexandria. Energies are from PBE.

Properties
space-group type = Cmmm, No. 65
Fermi-level density of states = 2.6 states/eV/f.u.
total energy = -24.1 eV/f.u.
magnetization = 0.26 μB per cell

Cell: 2.599 2.599 7.519 Å, 90.00 90.00 98.62°
Site moments in Bohr magnetons follow the coordinates.
Fractional positions:
Cr1 0.500 0.500 0.250  0.28
Cu1 0.500 0.500 0.750  0.00
Si1 0.000 0.000 0.015  -0.01
Si2 0.000 0.000 0.485  -0.01